Entry 1:
KU4Co3S12 | PBE | optimized geometry

Output
Formation energy (no corrections) ... -0.842 eV/atom
Fermi-level density of states ... 24.92 states/eV/cell
Total DFT energy (no corrections) ... -133.93 eV per cell

Structure (extended XYZ):
```
20
Lattice="8.339 0.000 0.000 -2.780 7.862 0.000 -2.780 -3.931 6.809" Properties=species:S:1:pos:R:3 pbc="T T T"
S -1.875 -0.717 5.691
K 0.000 0.000 0.000
U -1.390 -1.966 3.404
U 4.169 0.000 0.000
S 4.655 4.648 1.117
U 1.390 1.966 3.404
Co 2.780 3.931 0.000
Co 2.780 -1.966 3.404
S 0.904 -0.639 3.342
S -0.051 5.932 1.107
S 2.830 -2.001 5.701
S 5.610 -0.006 2.225
U -1.390 3.931 0.000
Co -2.780 1.966 3.404
S -2.830 3.937 4.584
S 3.684 1.356 4.584
S -0.904 2.575 2.225
S 2.729 1.924 1.117
S 0.051 2.007 5.691
S 1.875 4.570 3.466
```

=====

Entry 2:
KV2CoS8 | PBE | optimized geometry

Output
Formation energy (no corrections) ... -0.418 eV/atom
Fermi-level density of states ... 11.70 states/eV/cell
Total DFT energy (no corrections) ... -64.48 eV per cell

Structure (extended XYZ):
```
12
Lattice="-3.112 3.654 -3.566 1.293 0.304 -5.830 -6.439 -5.243 -4.768" Properties=species:S:1:pos:R:3 pbc="T T T"
S -2.610 1.675 -4.536
S -0.538 0.484 -7.142
Co 0.000 0.000 0.000
S -7.719 -1.769 -7.022
V -6.415 -1.213 -10.686
S -3.044 2.882 -7.831
V -1.843 -0.072 -3.479
S -5.214 -4.167 -6.333
S -5.647 -2.960 -9.628
S -5.031 0.343 -10.298
K -4.129 -0.643 -7.082
S -3.226 -1.628 -3.867
```

=====

Question: Look up the total DFT energy (no corrections) of the second one.
Answer: -64.48 eV per cell

=====

What did the first record say?
KU4Co3S12 | PBE | optimized geometry

Output
Formation energy (no corrections) ... -0.842 eV/atom
Fermi-level density of states ... 24.92 states/eV/cell
Total DFT energy (no corrections) ... -133.93 eV per cell

Structure (extended XYZ):
```
20
Lattice="8.339 0.000 0.000 -2.780 7.862 0.000 -2.780 -3.931 6.809" Properties=species:S:1:pos:R:3 pbc="T T T"
S -1.875 -0.717 5.691
K 0.000 0.000 0.000
U -1.390 -1.966 3.404
U 4.169 0.000 0.000
S 4.655 4.648 1.117
U 1.390 1.966 3.404
Co 2.780 3.931 0.000
Co 2.780 -1.966 3.404
S 0.904 -0.639 3.342
S -0.051 5.932 1.107
S 2.830 -2.001 5.701
S 5.610 -0.006 2.225
U -1.390 3.931 0.000
Co -2.780 1.966 3.404
S -2.830 3.937 4.584
S 3.684 1.356 4.584
S -0.904 2.575 2.225
S 2.729 1.924 1.117
S 0.051 2.007 5.691
S 1.875 4.570 3.466
```

=====

Question: Which formula does entry 2 have?
Answer: KV2CoS8

=====

Question: Number 1 is which compound?
Answer: KU4Co3S12